First-principles (PBE+U) data for an optimized crystal structure of Ca2NbCrO, as listed in the Alexandria database. Values from VASP.

## Properties
For the theoretical density, the calculation gives 4.3 Mg/m³. As for the density of states at the Fermi level: 5.8 states/eV per cell. Its total energy is -24.95 eV/f.u.

```
&SYSTEM
  ibrav = 0, nat = 5, ntyp = 4
/
ATOMIC_SPECIES
Ca 40.08 Ca.upf
Nb 92.91 Nb.upf
Cr 52.00 Cr.upf
O 16.00 O.upf
ATOMIC_POSITIONS crystal
Ca 0.000 0.500 0.000
Ca 0.500 0.000 0.000
Nb 0.000 0.000 0.500
Cr 0.500 0.500 0.500
O 0.500 0.500 0.000
CELL_PARAMETERS angstrom
4.528 0.000 0.000
0.000 4.528 0.000
0.000 0.000 4.516
```